1.
This record from Alexandria describes a crystal of RbAsPt2 relaxed with PBEsol. The functional is SCAN.

Results
SG: No. 141
Energy of formation (eV/atom): -0.387
Energy above the most stable polymorph in this dataset (meV per atom): 0

Lattice parameters (Å, degrees): 5.3794 5.3794 8.6684 108.08 108.08 90.00
With the nearest neighbours (Å) after each atom.
Positions (direct):
As: 0.5000 0.5000 0.0000  4 Pt 2.37
As: 0.7500 0.2500 0.5000  4 Pt 2.37
Pt: 0.6250 0.3750 0.7500  2 As 2.37
Pt: 0.1250 0.3750 0.7500  2 As 2.37
Pt: 0.6250 0.8750 0.2500  2 As 2.37
Pt: 0.6250 0.3750 0.2500  2 As 2.37
Rb: 0.0000 0.0000 0.0000  8 Pt 3.58, 4 As 3.80
Rb: 0.2500 0.7500 0.5000  8 Pt 3.58, 4 As 3.80



2.
This record from Alexandria describes a crystal of Ca2Fe3O8 relaxed with PBEsol. The functional is SCAN.

Results
SG: No. 12
E_form (uncorrected) (eV per atom): -2.130

Lattice parameters (Å, degrees): 4.8749 5.7830 6.1428 118.08 107.20 90.00
With the nearest neighbours (Å) after each atom.
Positions (direct):
Ca: 0.8305 0.2756 0.5513  6 O 2.25-2.39
Ca: 0.1695 0.7244 0.4487  6 O 2.25-2.39
Fe: 0.0000 0.0000 0.0000  6 O 1.86-1.87
Fe: 0.5000 0.7452 0.0000  6 O 1.83-1.96
Fe: 0.5000 0.2548 0.0000  6 O 1.83-1.96
O: 0.4612 0.6000 0.2000  2 Fe 1.83
O: 0.5388 0.4000 0.8000  2 Fe 1.83
O: 0.3984 0.0963 0.1927  3 Fe 1.87-1.96
O: 0.6016 0.9037 0.8073  3 Fe 1.87-1.96
O: 0.1110 0.1210 0.8008  2 Fe 1.85-1.86
O: 0.1110 0.6799 0.8008  2 Fe 1.85-1.86
O: 0.8890 0.3201 0.1992  2 Fe 1.85-1.86
O: 0.8890 0.8790 0.1992  2 Fe 1.85-1.86



no.,theoretical density (Mg/m³),total magnetization (μB per formula unit)
1,8.112,0.003
2,4.334,6.000